SmNb2P3, optimized geometry, DFT PBE-GGA; V = 111.6 Å³ per cell; DFT total energy = -0.570 Ry/atom; magnetic moment = 0.000 Bohr magnetons per cell
1.0
3.7773 0.0000 0.0000
-1.8887 3.2713 0.0000
0.0000 0.0000 9.0282
Sm Nb P
1 2 3
direct
0.0000 0.0000 0.0000 Sm
0.3333 0.6667 0.3570 Nb
0.6667 0.3333 0.6430 Nb
0.0000 0.0000 0.5000 P
0.3333 0.6667 0.8025 P
0.6667 0.3333 0.1975 P